Record 1
Computed, not measured: crystalline LiSc2OsAu at its relaxed geometry at the PBE-GGA level of DFT.

Output
As for the space-group type: P4/mmm (123). Its energy relative to the elements is 139 meV per atom. For the distance to the lowest polymorph of the same formula, the calculation gives 0.00 eV per formula unit. As for the crystal system: tetragonal.

Cell: 4.924 4.924 4.625 Å, 90.00 90.00 90.00°
Fractional positions:
Li 0.000 0.000 0.000
Sc 0.000 0.500 0.500
Sc 0.500 0.000 0.500
Os 0.000 0.000 0.500
Au 0.500 0.500 0.000

Record 2
Computed, not measured: crystalline LiOs2AuSe at its relaxed geometry at the PBE-GGA level of DFT.

Output
As for the space-group type: P4/mmm (123). The energy relative to the elements, uncorrected is 1.55 eV per atom. As for the crystal system: tetragonal.

Cell: 4.341 4.341 4.177 Å, 90.00 90.00 90.00°
Fractional positions:
Li 0.000 0.000 0.000
Os 0.000 0.500 0.000
Os 0.500 0.000 0.000
Au 0.000 0.000 0.500
Se 0.500 0.500 0.500

Taking the records one at a time from the top gives volume values of 22.4, 15.7 Å³/atom.
Taking the records one at a time from the top gives magnetic moment values of 0.0, 0.0 μB/f.u..